First-principles (GGA-PBE) data for a geometry-optimized AcTb12Tm7 structure, as listed in Alexandria.

Unit cell a=11.376 b=11.376 c=11.376 alpha=90.00 beta=90.00 gamma=90.00
Space group Im-3m (No. 229)
One atom of each set of equivalent atoms:
Ac1 0.000 0.000 0.000 [2 per cell]
Tb1 0.000 0.268 0.268 [24 per cell]
Tm1 0.000 0.000 0.500 [6 per cell]
Tm2 0.250 0.250 0.250 [8 per cell]

formation energy = 65 kJ per mole of atoms

First-principles (GGA-PBE) data for a geometry-optimized LiDy2Si3Ni12 structure, as listed in Alexandria.

Unit cell a=8.3451 b=8.3451 c=11.8254 alpha=90.00 beta=90.00 gamma=120.00
Space group R-3m (No. 166, hexagonal axes)
One atom of each set of equivalent atoms:
Li1 0.0000 0.0000 0.0000 [3 per cell]
Dy1 0.0000 0.0000 0.3483 [6 per cell]
Si1 0.0000 0.5000 0.5000 [9 per cell]
Ni1 0.0130 0.5065 0.6927 [18 per cell]
Ni2 0.0133 0.5066 0.8908 [18 per cell]

formation energy without anion corrections = -0.215 eV per atom

First-principles (GGA-PBE) data for a geometry-optimized K2ScRuS structure, as listed in Alexandria.

Unit cell a=6.562 b=6.562 c=4.442 alpha=90.00 beta=90.00 gamma=90.00
Space group P4/mmm (No. 123)
One atom of each set of equivalent atoms:
K1 0.000 0.500 0.000 [2 per cell]
Sc1 0.000 0.000 0.000 [1 per cell]
Ru1 0.000 0.000 0.500 [1 per cell]
S1 0.500 0.500 0.500 [1 per cell]

formation energy without anion corrections = 0.765 eV per atom